(1)
Below is a geometry-optimized Al3BiO structure, with properties calculated at the PBE level.

Values from the calculation:
V in Å³ per cell: 172.68
SG: Pm-3m (221)
Excess energy over the best structure of this formula in the dataset in eV per atom: 1.577
Formation energy (no corrections) in eV per atom: 1.338

Unit cell a=5.5686 b=5.5686 c=5.5686 alpha=90.00 beta=90.00 gamma=90.00
With the nearest neighbours (Å) after each atom.
Positions (direct):
O1 0.5000 0.5000 0.5000  12 Al 3.94
Al1 0.5000 0.0000 0.0000  2 Bi 2.78
Al2 0.0000 0.0000 0.5000  2 Bi 2.78
Al3 0.0000 0.5000 0.0000  2 Bi 2.78
Bi1 0.0000 0.0000 0.0000  6 Al 2.78



(2)
Below is a geometry-optimized SrBe2Co structure, with properties calculated at the PBE level.

Values from the calculation:
V in Å³ per cell: 146.45
SG: I4_1/amd (141)
Excess energy over the best structure of this formula in the dataset in eV per atom: 0.278

Unit cell a=4.4512 b=4.4512 c=8.0338 alpha=73.92 beta=73.92 gamma=90.00
With the nearest neighbours (Å) after each atom.
Positions (direct):
Be1 0.8750 0.6250 0.7500  2 Co 2.16, 2 Be 2.23
Be2 0.3750 0.6250 0.2500  2 Co 2.16, 2 Be 2.23
Be3 0.3750 0.1250 0.2500  2 Co 2.16, 2 Be 2.23
Be4 0.3750 0.6250 0.7500  2 Co 2.16, 2 Be 2.23
Co1 0.5000 0.5000 0.0000  4 Be 2.16
Co2 0.2500 0.7500 0.5000  4 Be 2.16
Sr1 0.7500 0.2500 0.5000  8 Be 3.10, 4 Co 3.15
Sr2 0.0000 0.0000 0.0000  8 Be 3.10, 4 Co 3.15



(3)
Below is a geometry-optimized AcWN2 structure, with properties calculated at the PBE level.

Values from the calculation:
V in Å³ per cell: 65.78
SG: R-3m (166)
Excess energy over the best structure of this formula in the dataset in eV per atom: 0.000
Formation energy (no corrections) in eV per atom: 0.026

Unit cell a=3.3645 b=3.3645 c=6.9858 alpha=76.07 beta=76.07 gamma=60.00
With the nearest neighbours (Å) after each atom.
Positions (direct):
W1 0.5000 0.5000 0.5000  6 N 2.14
N1 0.8777 0.8777 0.3668  3 W 2.14
N2 0.1223 0.1223 0.6332  3 W 2.14
Ac1 0.0000 0.0000 0.0000  2 N 2.46



(4)
Below is a geometry-optimized CoHgMo2As structure, with properties calculated at the PBE level.

Values from the calculation:
V in Å³ per cell: 93.38
SG: P4/mmm (123)
Uncorrected energy in eV per atom: -5.81

Unit cell a=4.6740 b=4.2743 c=4.6740 alpha=90.00 beta=90.00 gamma=90.00
With the nearest neighbours (Å) after each atom.
Positions (direct):
Co1 0.0000 0.5000 0.0000  2 As 2.14
As1 0.0000 0.0000 0.0000  2 Co 2.14, 4 Mo 2.34
Mo1 0.5000 0.0000 0.0000  2 As 2.34
Mo2 0.0000 0.0000 0.5000  2 As 2.34
Hg1 0.5000 0.5000 0.5000  8 Mo 3.17, 4 Co 3.31



Please write out number 1 again, unchanged.
Below is a geometry-optimized Al3BiO structure, with properties calculated at the PBE level.

Values from the calculation:
V in Å³ per cell: 172.68
SG: Pm-3m (221)
Excess energy over the best structure of this formula in the dataset in eV per atom: 1.577
Formation energy (no corrections) in eV per atom: 1.338

Unit cell a=5.5686 b=5.5686 c=5.5686 alpha=90.00 beta=90.00 gamma=90.00
With the nearest neighbours (Å) after each atom.
Positions (direct):
O1 0.5000 0.5000 0.5000  12 Al 3.94
Al1 0.5000 0.0000 0.0000  2 Bi 2.78
Al2 0.0000 0.0000 0.5000  2 Bi 2.78
Al3 0.0000 0.5000 0.0000  2 Bi 2.78
Bi1 0.0000 0.0000 0.0000  6 Al 2.78